Record 1
A relaxed Pu3AgH crystal, computed with PBE-GGA.

It has space group Pm-3m (No. 221), with a = 4.7645 Å, b = 4.7645 Å, c = 4.7645 Å, α = 90.00°, β = 90.00° and γ = 90.00°. The asymmetric unit holds Pu at (0.0000, 0.0000, 0.5000), Ag at (0.5000, 0.5000, 0.5000) and H at (0.0000, 0.0000, 0.0000).

The total energy comes out at -49.1 eV per cell. As for the crystal system: cubic.

***

Record 2
A relaxed RbAg3H crystal, computed with PBE-GGA.

It has space group Pm-3m (No. 221), with a = 4.7005 Å, b = 4.7005 Å, c = 4.7005 Å, α = 90.00°, β = 90.00° and γ = 90.00°. The asymmetric unit holds Rb at (0.0000, 0.0000, 0.0000), Ag at (0.0000, 0.5000, 0.5000) and H at (0.5000, 0.5000, 0.5000).

The total energy comes out at -10.3 eV per cell. As for the crystal system: cubic.

***

Record 3
A relaxed RbAgH6 crystal, computed with PBE-GGA.

It has space group C2/m (No. 12), with a = 9.6911 Å, b = 5.5001 Å, c = 5.4158 Å, α = 90.00°, β = 123.09° and γ = 90.00°. The asymmetric unit holds Rb at (0.0000, 0.0000, 0.0000), Ag at (0.0000, 0.5000, 0.5000), H at (0.0072, 0.5000, 0.9335) and H at (0.2149, 0.2769, 0.5094).

The total energy comes out at -46.9 eV per cell. As for the crystal system: monoclinic.

***

Record 4
A relaxed Rb2AgH6 crystal, computed with PBE-GGA.

It has space group P2_1/c (No. 14), with a = 4.9518 Å, b = 8.8405 Å, c = 10.0309 Å, α = 90.00°, β = 119.48° and γ = 90.00°. The asymmetric unit holds Rb at (0.2387, 0.1611, 0.2383), Ag at (0.0000, 0.0000, 0.5000), H at (0.1915, 0.6776, 0.6914), H at (0.1949, 0.0054, 0.6949) and H at (0.2780, 0.6608, 0.7783).

The total energy comes out at -49.8 eV per cell. As for the crystal system: monoclinic.

***

Record 5
A relaxed Rb4Ag2H crystal, computed with PBE-GGA.

It has space group I4/mmm (No. 139), with a = 5.5900 Å, b = 5.5900 Å, c = 19.1811 Å, α = 90.00°, β = 90.00° and γ = 90.00°. The asymmetric unit holds Rb at (0.0000, 0.0000, 0.1742), Rb at (0.0000, 0.5000, 0.0000), Ag at (0.0000, 0.0000, 0.3668) and H at (0.0000, 0.0000, 0.0000).

The total energy comes out at -25.4 eV per cell. As for the crystal system: tetragonal.

***

Record 6
A relaxed RbAg2H crystal, computed with PBE-GGA.

It has space group Fm-3m (No. 225), with a = 7.4254 Å, b = 7.4254 Å, c = 7.4254 Å, α = 90.00°, β = 90.00° and γ = 90.00°. The asymmetric unit holds Rb at (0.0000, 0.0000, 0.0000), Ag at (0.2500, 0.2500, 0.2500) and H at (0.0000, 0.0000, 0.5000).

The value obtained for the relative energy among the computed polymorphs is 0.664 eV/atom. As for the crystal system: cubic.

***

Record 7
A relaxed Rb12Ag3H5 crystal, computed with PBE-GGA.

It has space group Ia-3d (No. 230), with a = 19.0974 Å, b = 19.0974 Å, c = 19.0974 Å, α = 90.00°, β = 90.00° and γ = 90.00°. The asymmetric unit holds Rb at (0.0304, 0.0509, 0.6504), Ag at (0.0000, 0.2500, 0.1250), H at (0.0000, 0.0000, 0.0000) and H at (0.0000, 0.2500, 0.3750).

The total energy comes out at -289.9 eV per cell. As for the crystal system: cubic.

***

Record 8
A relaxed RbAg2H2 crystal, computed with PBE-GGA.

It has space group I4/mmm (No. 139), with a = 4.0033 Å, b = 4.0033 Å, c = 12.5083 Å, α = 90.00°, β = 90.00° and γ = 90.00°. The asymmetric unit holds Rb at (0.0000, 0.0000, 0.0000), Ag at (0.0000, 0.0000, 0.2771) and H at (0.0000, 0.5000, 0.2500).

The total energy comes out at -24.4 eV per cell. As for the crystal system: tetragonal.

***

Record 9
A relaxed Rb3AgH crystal, computed with PBE-GGA.

It has space group Pm-3m (No. 221), with a = 6.7247 Å, b = 6.7247 Å, c = 6.7247 Å, α = 90.00°, β = 90.00° and γ = 90.00°. The asymmetric unit holds Rb at (0.0000, 0.0000, 0.5000), Ag at (0.0000, 0.0000, 0.0000) and H at (0.5000, 0.5000, 0.5000).

The value obtained for the relative energy among the computed polymorphs is 0.313 eV/atom. As for the crystal system: cubic.

***

Record 10
A relaxed RbAg2H crystal, computed with PBE-GGA.

It has space group I4_1/amd (No. 141, origin choice 2), with a = 5.9386 Å, b = 5.9386 Å, c = 10.3978 Å, α = 90.00°, β = 90.00° and γ = 90.00°. The asymmetric unit holds Rb at (0.0000, 0.2500, 0.3750), Ag at (0.0000, 0.0000, 0.0000) and H at (0.0000, 0.2500, 0.8750).

The value obtained for the relative energy among the computed polymorphs is 0.000 eV/atom. As for the crystal system: tetragonal.

***

Record 11
A relaxed Rb3AgH crystal, computed with PBE-GGA.

It has space group Pm-3m (No. 221), with a = 5.8161 Å, b = 5.8161 Å, c = 5.8161 Å, α = 90.00°, β = 90.00° and γ = 90.00°. The asymmetric unit holds Rb at (0.0000, 0.0000, 0.5000), Ag at (0.5000, 0.5000, 0.5000) and H at (0.0000, 0.0000, 0.0000).

The value obtained for the relative energy among the computed polymorphs is 0.000 eV/atom. As for the crystal system: cubic.

***

Record 12
A relaxed Rb2AgH6Rh crystal, computed with PBE-GGA.

It has space group P-3m1 (No. 164), with a = 5.9593 Å, b = 5.9593 Å, c = 5.3389 Å, α = 90.00°, β = 90.00° and γ = 120.00°. The asymmetric unit holds Rb at (0.3333, 0.6667, 0.2697), Ag at (0.0000, 0.0000, 0.0000), H at (0.1342, 0.2684, 0.6806) and Rh at (0.0000, 0.0000, 0.5000).

The total energy comes out at -34.7 eV per cell. As for the crystal system: trigonal.

***

Record 13
A relaxed Rb2AgHSe2 crystal, computed with PBE-GGA.

It has space group Ibam (No. 72), with a = 6.9055 Å, b = 14.5554 Å, c = 6.3844 Å, α = 90.00°, β = 90.00° and γ = 90.00°. The asymmetric unit holds Rb at (0.2245, 0.1616, 0.0000), Ag at (0.0000, 0.5000, 0.2500), H at (0.0000, 0.0000, 0.2500) and Se at (0.2199, 0.0833, 0.5000).

The total energy comes out at -67.5 eV per cell. As for the crystal system: orthorhombic.

***

Record 14
A relaxed Rb2SiAgH6 crystal, computed with PBE-GGA.

It has space group I4mm (No. 107), with a = 5.7362 Å, b = 5.7362 Å, c = 8.3171 Å, α = 90.00°, β = 90.00° and γ = 90.00°. The asymmetric unit holds Rb at (0.0000, 0.5000, 0.0000), Si at (0.0000, 0.0000, 0.2502), Ag at (0.0000, 0.0000, 0.7496), H at (0.0000, 0.0000, 0.0514), H at (0.0000, 0.0000, 0.4493) and H at (0.2051, 0.2051, 0.2502).

The total energy comes out at -61.7 eV per cell. As for the crystal system: tetragonal.

***

Record 15
A relaxed Rb2SrAg2H6 crystal, computed with PBE-GGA.

It has space group C2/m (No. 12), with a = 10.7186 Å, b = 6.1637 Å, c = 7.3436 Å, α = 90.00°, β = 118.02° and γ = 90.00°. The asymmetric unit holds Rb at (0.2117, 0.0000, 0.1372), Sr at (0.0000, 0.0000, 0.5000), Ag at (0.0803, 0.5000, 0.2481), H at (0.0065, 0.2487, 0.7604) and H at (0.2501, 0.0000, 0.7444).

The total energy comes out at -62.7 eV per cell. As for the crystal system: monoclinic.

***

Record 16
A relaxed Rb2Zn2AgH6 crystal, computed with PBE-GGA.

It has space group C2/m (No. 12), with a = 10.4967 Å, b = 5.5959 Å, c = 6.4213 Å, α = 90.00°, β = 115.14° and γ = 90.00°. The asymmetric unit holds Rb at (0.2153, 0.0000, 0.1731), Zn at (0.0569, 0.5000, 0.2220), Ag at (0.0000, 0.0000, 0.5000), H at (0.0128, 0.2401, 0.7329) and H at (0.2316, 0.5000, 0.3340).

The total energy comes out at -55.2 eV per cell. As for the crystal system: monoclinic.

***

Record 17
A relaxed RbZn2AgH crystal, computed with PBE-GGA.

It has space group P4/mmm (No. 123), with a = 5.7513 Å, b = 5.7513 Å, c = 3.6984 Å, α = 90.00°, β = 90.00° and γ = 90.00°. The asymmetric unit holds Rb at (0.0000, 0.0000, 0.0000), Zn at (0.0000, 0.5000, 0.5000), Ag at (0.5000, 0.5000, 0.0000) and H at (0.5000, 0.5000, 0.5000).

The total energy comes out at -7.7 eV per cell. As for the crystal system: tetragonal.

***

Record 18
A relaxed ReAgH2 crystal, computed with PBE-GGA.

It has space group I-42d (No. 122), with a = 5.2068 Å, b = 5.2068 Å, c = 5.7536 Å, α = 90.00°, β = 90.00° and γ = 90.00°. The asymmetric unit holds Re at (0.0000, 0.0000, 0.0000), Ag at (0.0000, 0.0000, 0.5000) and H at (0.1881, 0.2500, 0.1250).

The value obtained for the relative energy among the computed polymorphs is 0.000 eV/atom. As for the crystal system: tetragonal.

***

Record 19
A relaxed ReAgH2 crystal, computed with PBE-GGA.

It has space group Fm-3m (No. 225), with a = 5.4359 Å, b = 5.4359 Å, c = 5.4359 Å, α = 90.00°, β = 90.00° and γ = 90.00°. The asymmetric unit holds Re at (0.0000, 0.0000, 0.0000), Ag at (0.0000, 0.0000, 0.5000) and H at (0.2500, 0.2500, 0.2500).

The value obtained for the relative energy among the computed polymorphs is 0.717 eV/atom. As for the crystal system: cubic.

***

Record 20
A relaxed ReAgH3 crystal, computed with PBE-GGA.

It has space group Pm-3m (No. 221), with a = 3.5397 Å, b = 3.5397 Å, c = 3.5397 Å, α = 90.00°, β = 90.00° and γ = 90.00°. The asymmetric unit holds Re at (0.0000, 0.0000, 0.0000), Ag at (0.5000, 0.5000, 0.5000) and H at (0.0000, 0.0000, 0.5000).

The value obtained for the relative energy among the computed polymorphs is 0.000 eV/atom. As for the crystal system: cubic.

***

Record 21
A relaxed ReAgH3 crystal, computed with PBE-GGA.

It has space group Pm-3m (No. 221), with a = 3.5144 Å, b = 3.5144 Å, c = 3.5144 Å, α = 90.00°, β = 90.00° and γ = 90.00°. The asymmetric unit holds Re at (0.0000, 0.0000, 0.0000), Ag at (0.5000, 0.5000, 0.5000) and H at (0.0000, 0.5000, 0.5000).

The value obtained for the relative energy among the computed polymorphs is 0.675 eV/atom. As for the crystal system: cubic.

***

Record 22
A relaxed Re3AgH crystal, computed with PBE-GGA.

It has space group Pm-3m (No. 221), with a = 4.7816 Å, b = 4.7816 Å, c = 4.7816 Å, α = 90.00°, β = 90.00° and γ = 90.00°. The asymmetric unit holds Re at (0.0000, 0.0000, 0.5000), Ag at (0.0000, 0.0000, 0.0000) and H at (0.5000, 0.5000, 0.5000).

The value obtained for the relative energy among the computed polymorphs is 3.311 eV/atom. As for the crystal system: cubic.